# 1
Material: Y4MgCu2Ru
Method: DFT, PBE
State: relaxed

Lattice parameters (Å, degrees): 5.0157 5.0157 8.6949 73.24 73.24 60.00
Positions (direct):
1 Y 0.3849 0.3849 0.8453
2 Y 0.8669 0.8669 0.3992
3 Y 0.1331 0.1331 0.6008
4 Y 0.6151 0.6151 0.1547
5 Mg 0.0000 0.0000 0.0000
6 Cu 0.7397 0.7397 0.7808
7 Cu 0.2603 0.2603 0.2192
8 Ru 0.5000 0.5000 0.5000

Summary:
raw total energy	-46.76	eV per cell
total magnetization	0.00	Bohr magnetons per cell
volume	22.33	Å³ per atom



# 2
Material: Y4MgCuRu2
Method: DFT, PBE
State: relaxed

Lattice parameters (Å, degrees): 4.9440 4.9440 8.6136 73.32 73.32 60.00
Positions (direct):
1 Y 0.3796 0.3796 0.8611
2 Y 0.8715 0.8715 0.3856
3 Y 0.1285 0.1285 0.6144
4 Y 0.6204 0.6204 0.1389
5 Mg 0.0000 0.0000 0.0000
6 Cu 0.5000 0.5000 0.5000
7 Ru 0.7477 0.7477 0.7568
8 Ru 0.2523 0.2523 0.2432

Summary:
raw total energy	-52.18	eV per cell
total magnetization	0.00	Bohr magnetons per cell
volume	21.50	Å³ per atom